Here is Cu4Si2Au5 after structural relaxation from the Alexandria database. Energies are from PBE.

a b c (Å): 4.2200 7.4948 6.1720
angles (deg): 89.26 109.99 90.00
Atoms (fractional coordinates):
Au: 0.1679 0.9462 0.3358
Cu: 0.9621 0.7612 0.9241
Cu: 0.7368 0.7508 0.4736
Si: 0.4574 0.3540 0.9149
Au: 0.5000 0.0000 0.0000
Au: 0.8321 0.0538 0.6642
Si: 0.5426 0.6460 0.0851
Au: 0.1623 0.5587 0.3247
Au: 0.8377 0.4413 0.6753
Cu: 0.0379 0.2388 0.0759
Cu: 0.2632 0.2492 0.5264

Its crystal system is monoclinic. Its spin magnetization is 0.00 μB per cell. Its theoretical density is 11.72 Mg/m³. For the uncorrected energy, the calculation gives -3.8734 eV/atom. The space group is No. 12. For the volume, the calculation gives 16.68 Å³/atom.

Here is Li3Tl2Pb3 after structural relaxation from the Alexandria database. Energies are from PBE.

a b c (Å): 3.6902 5.2262 10.8108
angles (deg): 103.99 99.83 90.00
Atoms (fractional coordinates):
Tl: 0.7367 0.2367 0.4735
Li: 0.8845 0.8845 0.7690
Li: 0.1155 0.1155 0.2310
Pb: 0.3796 0.3796 0.7593
Li: 0.0000 0.5000 0.0000
Tl: 0.2633 0.7633 0.5265
Pb: 0.6204 0.6204 0.2407
Pb: 0.5000 0.0000 0.0000

Its crystal system is orthorhombic. Its spin magnetization is 0.00 μB per cell. Its theoretical density is 8.76 Mg/m³. The space group is No. 71. For the volume, the calculation gives 24.89 Å³/atom. The calculation puts the energy of formation at -0.171 eV per atom.